# 1
# TmZr3Sb3

An optimized crystal structure of TmZr3Sb3 (PBE, the Alexandria database).

a b c (Å): 7.9054 7.9054 8.8037
angles (deg): 63.32 63.32 60.00
Closest atoms and distances in Å follow each position.
Element x y z (fractional)
Tm  0.3384  0.3384  0.9848  6 Sb 3.04-3.05
Tm  0.6616  0.6616  0.0152  6 Sb 3.04-3.05
Zr  0.3741  0.8623  0.6295  4 Sb 2.88-2.95, 1 Zr 3.11
Zr  0.8623  0.1341  0.6295  4 Sb 2.88-2.95, 1 Zr 3.11
Zr  0.1341  0.3741  0.6295  4 Sb 2.88-2.95, 1 Zr 3.11
Zr  0.8659  0.6259  0.3705  4 Sb 2.88-2.95, 1 Zr 3.11
Zr  0.1377  0.8659  0.3705  4 Sb 2.88-2.95, 1 Zr 3.11
Zr  0.6259  0.1377  0.3705  4 Sb 2.88-2.95, 1 Zr 3.11
Sb  0.3053  0.5209  0.2419  4 Zr 2.88-2.95, 2 Tm 3.04-3.05
Sb  0.9319  0.3053  0.2419  4 Zr 2.88-2.95, 2 Tm 3.04-3.05
Sb  0.5209  0.9319  0.2419  4 Zr 2.88-2.95, 2 Tm 3.04-3.05
Sb  0.4791  0.0681  0.7581  4 Zr 2.88-2.95, 2 Tm 3.04-3.05
Sb  0.0681  0.6947  0.7581  4 Zr 2.88-2.95, 2 Tm 3.04-3.05
Sb  0.6947  0.4791  0.7581  4 Zr 2.88-2.95, 2 Tm 3.04-3.05

## Properties
As for the formation energy (no corrections): -0.447 eV per atom. The calculation puts the size of the total moment at 0.0 μB/f.u. Its space group is R-3.



# 2
# TmZrSb

An optimized crystal structure of TmZrSb (PBE, the Alexandria database).

a b c (Å): 5.1360 5.1360 6.5398
angles (deg): 90.00 90.00 90.00
Closest atoms and distances in Å follow each position.
Element x y z (fractional)
Tm  0.0000  0.5000  0.7254  4 Sb 3.13, 2 Zr 3.23-3.31
Tm  0.5000  0.0000  0.2746  4 Sb 3.13, 2 Zr 3.23-3.31
Sb  0.5000  0.5000  0.0000  4 Zr 2.98, 4 Tm 3.13
Sb  0.0000  0.0000  0.0000  4 Zr 2.98, 4 Tm 3.13
Zr  0.5000  0.0000  0.7687  4 Sb 2.98, 2 Tm 3.23-3.31
Zr  0.0000  0.5000  0.2313  4 Sb 2.98, 2 Tm 3.23-3.31

## Properties
As for the formation energy (no corrections): -0.053 eV per atom. The calculation puts the size of the total moment at 0.7 μB/f.u. Its space group is P4/nmm.



# 3
# Tm2ZrSb3

An optimized crystal structure of Tm2ZrSb3 (PBE, the Alexandria database).

a b c (Å): 4.2624 4.2624 9.5307
angles (deg): 102.93 102.93 89.97
Closest atoms and distances in Å follow each position.
Element x y z (fractional)
Tm  0.1018  0.1030  0.2089  6 Sb 3.01-3.06
Tm  0.7668  0.7680  0.5390  6 Sb 3.01-3.06
Zr  0.4340  0.4360  0.8740  6 Sb 2.96-3.01
Sb  0.9340  0.9360  0.8740  4 Zr 3.01, 2 Tm 3.03
Sb  0.2708  0.2720  0.5469  1 Zr 2.96, 5 Tm 3.01-3.06
Sb  0.5978  0.5991  0.2010  1 Zr 2.96, 5 Tm 3.01-3.06

## Properties
As for the formation energy (no corrections): -0.882 eV per atom. The calculation puts the size of the total moment at 0.0 μB/f.u. Its space group is I4/mmm.



# 4
# Tm5Zr12Sb3

An optimized crystal structure of Tm5Zr12Sb3 (PBE, the Alexandria database).

a b c (Å): 14.8600 14.8600 14.8600
angles (deg): 109.47 109.47 109.47
Closest atoms and distances in Å follow each position.
Element x y z (fractional)
Sb  0.7500  0.3750  0.1250  8 Zr 2.93-3.09
Sb  0.8750  0.7500  0.1250  8 Zr 2.93-3.09
Sb  0.3750  0.7500  0.6250  8 Zr 2.93-3.09
Sb  0.2500  0.1250  0.3750  8 Zr 2.93-3.09
Sb  0.8750  0.1250  0.2500  8 Zr 2.93-3.09
Sb  0.3750  0.6250  0.2500  8 Zr 2.93-3.09
Sb  0.6250  0.3750  0.7500  8 Zr 2.93-3.09
Sb  0.1250  0.8750  0.7500  8 Zr 2.93-3.09
Sb  0.7500  0.8750  0.6250  8 Zr 2.93-3.09
Sb  0.6250  0.2500  0.3750  8 Zr 2.93-3.09
Sb  0.1250  0.2500  0.8750  8 Zr 2.93-3.09
Sb  0.2500  0.6250  0.8750  8 Zr 2.93-3.09
Tm  0.1250  0.3750  0.2500  4 Zr 3.09
Tm  0.0000  0.5000  0.0000  6 Zr 2.90
Tm  0.0000  0.0000  0.0000  6 Zr 2.90
Tm  0.3750  0.2500  0.1250  4 Zr 3.09
Tm  0.5000  0.0000  0.5000  6 Zr 2.90
Tm  0.5000  0.5000  0.0000  6 Zr 2.90
Tm  0.1250  0.7500  0.3750  4 Zr 3.09
Tm  0.7500  0.1250  0.8750  4 Zr 3.09
Tm  0.7500  0.6250  0.3750  4 Zr 3.09
Tm  0.3750  0.1250  0.7500  4 Zr 3.09
Tm  0.6250  0.8750  0.2500  4 Zr 3.09
Tm  0.5000  0.5000  0.5000  6 Zr 2.90
Tm  0.5000  0.0000  0.0000  6 Zr 2.90
Tm  0.0000  0.0000  0.5000  6 Zr 2.90
Tm  0.2500  0.3750  0.6250  4 Zr 3.09
Tm  0.2500  0.8750  0.1250  4 Zr 3.09
Tm  0.0000  0.5000  0.5000  6 Zr 2.90
Tm  0.8750  0.2500  0.6250  4 Zr 3.09
Tm  0.6250  0.7500  0.8750  4 Zr 3.09
Tm  0.8750  0.6250  0.7500  4 Zr 3.09
Zr  0.7294  0.1488  0.0812  3 Zr 2.88-3.12, 2 Tm 2.90-3.09, 2 Sb 2.93-3.09
Zr  0.3518  0.5812  0.4323  3 Zr 2.88-3.12, 2 Tm 2.90-3.09, 2 Sb 2.93-3.09
Zr  0.9188  0.3512  0.2706  3 Zr 2.88-3.12, 2 Tm 2.90-3.09, 2 Sb 2.93-3.09
Zr  0.5812  0.2294  0.1488  3 Zr 2.88-3.12, 2 Tm 2.90-3.09, 2 Sb 2.93-3.09
Zr  0.5806  0.7294  0.6482  3 Zr 2.88-3.12, 2 Tm 2.90-3.09, 2 Sb 2.93-3.09
Zr  0.9188  0.5677  0.1482  3 Zr 2.88-3.12, 2 Tm 2.90-3.09, 2 Sb 2.93-3.09
Zr  0.3518  0.7706  0.4194  3 Zr 2.88-3.12, 2 Tm 2.90-3.09, 2 Sb 2.93-3.09
Zr  0.0677  0.9194  0.1488  3 Zr 2.88-3.12, 2 Tm 2.90-3.09, 2 Sb 2.93-3.09
Zr  0.5677  0.9188  0.6482  3 Zr 2.88-3.12, 2 Tm 2.90-3.09, 2 Sb 2.93-3.09
Zr  0.7294  0.5806  0.1482  3 Zr 2.88-3.12, 2 Tm 2.90-3.09, 2 Sb 2.93-3.09
Zr  0.7706  0.4188  0.3512  3 Zr 2.88-3.12, 2 Tm 2.90-3.09, 2 Sb 2.93-3.09
Zr  0.8518  0.9323  0.0812  3 Zr 2.88-3.12, 2 Tm 2.90-3.09, 2 Sb 2.93-3.09
Zr  0.1488  0.7294  0.5812  3 Zr 2.88-3.12, 2 Tm 2.90-3.09, 2 Sb 2.93-3.09
Zr  0.3512  0.4323  0.0806  3 Zr 2.88-3.12, 2 Tm 2.90-3.09, 2 Sb 2.93-3.09
Zr  0.0806  0.9323  0.3512  3 Zr 2.88-3.12, 2 Tm 2.90-3.09, 2 Sb 2.93-3.09
Zr  0.4194  0.1488  0.5677  3 Zr 2.88-3.12, 2 Tm 2.90-3.09, 2 Sb 2.93-3.09
Zr  0.0806  0.1482  0.2294  3 Zr 2.88-3.12, 2 Tm 2.90-3.09, 2 Sb 2.93-3.09
Zr  0.4188  0.6482  0.0677  3 Zr 2.88-3.12, 2 Tm 2.90-3.09, 2 Sb 2.93-3.09
Zr  0.8518  0.9194  0.2706  3 Zr 2.88-3.12, 2 Tm 2.90-3.09, 2 Sb 2.93-3.09
Zr  0.1488  0.4194  0.0677  3 Zr 2.88-3.12, 2 Tm 2.90-3.09, 2 Sb 2.93-3.09
Zr  0.3512  0.9188  0.7706  3 Zr 2.88-3.12, 2 Tm 2.90-3.09, 2 Sb 2.93-3.09
Zr  0.5677  0.6488  0.4194  3 Zr 2.88-3.12, 2 Tm 2.90-3.09, 2 Sb 2.93-3.09
Zr  0.9323  0.8518  0.5812  3 Zr 2.88-3.12, 2 Tm 2.90-3.09, 2 Sb 2.93-3.09
Zr  0.7706  0.3518  0.9194  3 Zr 2.88-3.12, 2 Tm 2.90-3.09, 2 Sb 2.93-3.09
Zr  0.4323  0.3512  0.5806  3 Zr 2.88-3.12, 2 Tm 2.90-3.09, 2 Sb 2.93-3.09
Zr  0.0677  0.1482  0.4188  3 Zr 2.88-3.12, 2 Tm 2.90-3.09, 2 Sb 2.93-3.09
Zr  0.2294  0.6482  0.0806  3 Zr 2.88-3.12, 2 Tm 2.90-3.09, 2 Sb 2.93-3.09
Zr  0.1482  0.0806  0.7294  3 Zr 2.88-3.12, 2 Tm 2.90-3.09, 2 Sb 2.93-3.09
Zr  0.6488  0.0812  0.2294  3 Zr 2.88-3.12, 2 Tm 2.90-3.09, 2 Sb 2.93-3.09
Zr  0.8512  0.5806  0.9323  3 Zr 2.88-3.12, 2 Tm 2.90-3.09, 2 Sb 2.93-3.09
Zr  0.5812  0.3518  0.9323  3 Zr 2.88-3.12, 2 Tm 2.90-3.09, 2 Sb 2.93-3.09
Zr  0.5806  0.8512  0.4323  3 Zr 2.88-3.12, 2 Tm 2.90-3.09, 2 Sb 2.93-3.09
Zr  0.9194  0.8518  0.7706  3 Zr 2.88-3.12, 2 Tm 2.90-3.09, 2 Sb 2.93-3.09
Zr  0.9194  0.0677  0.6488  3 Zr 2.88-3.12, 2 Tm 2.90-3.09, 2 Sb 2.93-3.09
Zr  0.8512  0.2706  0.4188  3 Zr 2.88-3.12, 2 Tm 2.90-3.09, 2 Sb 2.93-3.09
Zr  0.1482  0.0677  0.9188  3 Zr 2.88-3.12, 2 Tm 2.90-3.09, 2 Sb 2.93-3.09
Zr  0.6488  0.5677  0.9194  3 Zr 2.88-3.12, 2 Tm 2.90-3.09, 2 Sb 2.93-3.09
Zr  0.4323  0.0812  0.3518  3 Zr 2.88-3.12, 2 Tm 2.90-3.09, 2 Sb 2.93-3.09
Zr  0.2706  0.4194  0.8518  3 Zr 2.88-3.12, 2 Tm 2.90-3.09, 2 Sb 2.93-3.09
Zr  0.2294  0.5812  0.6488  3 Zr 2.88-3.12, 2 Tm 2.90-3.09, 2 Sb 2.93-3.09
Zr  0.9323  0.0806  0.8512  3 Zr 2.88-3.12, 2 Tm 2.90-3.09, 2 Sb 2.93-3.09
Zr  0.6482  0.2294  0.5806  3 Zr 2.88-3.12, 2 Tm 2.90-3.09, 2 Sb 2.93-3.09
Zr  0.4188  0.7706  0.8512  3 Zr 2.88-3.12, 2 Tm 2.90-3.09, 2 Sb 2.93-3.09
Zr  0.0812  0.4323  0.8518  3 Zr 2.88-3.12, 2 Tm 2.90-3.09, 2 Sb 2.93-3.09
Zr  0.4194  0.2706  0.3518  3 Zr 2.88-3.12, 2 Tm 2.90-3.09, 2 Sb 2.93-3.09
Zr  0.0812  0.6488  0.7294  3 Zr 2.88-3.12, 2 Tm 2.90-3.09, 2 Sb 2.93-3.09
Zr  0.6482  0.4188  0.5677  3 Zr 2.88-3.12, 2 Tm 2.90-3.09, 2 Sb 2.93-3.09
Zr  0.2706  0.8512  0.9188  3 Zr 2.88-3.12, 2 Tm 2.90-3.09, 2 Sb 2.93-3.09

## Properties
As for the formation energy (no corrections): 0.833 eV per atom. The calculation puts the size of the total moment at 0.0 μB/f.u. Its space group is Ia-3d.



# 5
# TmZrSb

An optimized crystal structure of TmZrSb (PBE, the Alexandria database).

a b c (Å): 3.7887 3.7887 5.7924
angles (deg): 109.09 109.09 90.00
Closest atoms and distances in Å follow each position.
Element x y z (fractional)
Sb  0.6276  0.6276  0.2551  4 Zr 3.05, 5 Tm 3.23-3.33
Tm  0.9521  0.9521  0.9043  5 Sb 3.23-3.33, 5 Zr 3.27
Zr  0.2703  0.2703  0.5406  4 Sb 3.05, 5 Tm 3.27

## Properties
As for the formation energy (no corrections): -0.567 eV per atom. The calculation puts the size of the total moment at 0.0 μB/f.u. Its space group is I4mm.



# 6
# TmZrSb

An optimized crystal structure of TmZrSb (PBE, the Alexandria database).

a b c (Å): 8.7513 8.7513 8.7513
angles (deg): 151.83 151.83 40.26
Closest atoms and distances in Å follow each position.
Element x y z (fractional)
Tm  0.3244  0.3244  0.0000  5 Sb 3.08-3.10
Tm  0.6756  0.6756  0.0000  5 Sb 3.08-3.10
Zr  0.0000  0.5000  0.5000  4 Zr 3.01, 4 Sb 3.08
Zr  0.5000  0.0000  0.5000  4 Zr 3.01, 4 Sb 3.08
Sb  0.1354  0.1354  0.0000  4 Zr 3.08, 5 Tm 3.08-3.10
Sb  0.8646  0.8646  0.0000  4 Zr 3.08, 5 Tm 3.08-3.10

## Properties
As for the formation energy (no corrections): -0.765 eV per atom. The calculation puts the size of the total moment at 0.0 μB/f.u. Its space group is I4/mmm.



# 7
# TmZrSb

An optimized crystal structure of TmZrSb (PBE, the Alexandria database).

a b c (Å): 3.6702 4.9468 4.9468
angles (deg): 120.00 90.00 90.00
Closest atoms and distances in Å follow each position.
Element x y z (fractional)
Sb  0.2360  0.3333  0.6667  3 Zr 2.89, 3 Tm 3.22
Tm  0.6396  0.6667  0.3333  6 Sb 3.22-3.60, 6 Zr 3.36-3.43
Zr  0.1244  0.0000  0.0000  3 Sb 2.89

## Properties
As for the formation energy (no corrections): -0.238 eV per atom. The calculation puts the size of the total moment at 0.0 μB/f.u. Its space group is P3m1.



# 8
# TmZrSb2

An optimized crystal structure of TmZrSb2 (PBE, the Alexandria database).

a b c (Å): 4.1412 4.1412 7.6656
angles (deg): 74.33 74.33 60.00
Closest atoms and distances in Å follow each position.
Element x y z (fractional)
Tm  0.6694  0.6694  0.9918  6 Sb 3.00-3.08
Zr  0.4982  0.4982  0.5054  6 Sb 2.95-2.99
Sb  0.0854  0.0854  0.7438  3 Zr 2.95, 3 Tm 3.00
Sb  0.2470  0.2470  0.2589  3 Zr 2.99, 3 Tm 3.08

## Properties
As for the formation energy (no corrections): -0.782 eV per atom. The offset from the most stable computed form comes out at 30.0 meV per atom. The calculation puts the size of the total moment at 0.2 μB/f.u. Its space group is R3m.



# 9
# TmZrSb

An optimized crystal structure of TmZrSb (PBE, the Alexandria database).

a b c (Å): 4.1146 9.1901 9.3995
angles (deg): 94.87 102.64 90.00
Closest atoms and distances in Å follow each position.
Element x y z (fractional)
Tm  0.8993  0.6519  0.7985  4 Sb 3.08-3.10, 2 Zr 3.40
Tm  0.5386  0.8328  0.0772  2 Sb 2.93-3.00
Tm  0.4614  0.1672  0.9228  2 Sb 2.93-3.00
Tm  0.1007  0.3481  0.2015  4 Sb 3.08-3.10, 2 Zr 3.40
Zr  0.7487  0.3731  0.4974  4 Sb 2.96-3.04, 4 Zr 3.08-3.11
Zr  0.2566  0.1262  0.5131  4 Sb 3.01-3.11, 4 Zr 3.08-3.09
Zr  0.2513  0.6269  0.5026  4 Sb 2.96-3.04, 4 Zr 3.08-3.11
Zr  0.7434  0.8738  0.4869  4 Sb 3.01-3.11, 4 Zr 3.08-3.09
Sb  0.6348  0.5947  0.2696  3 Tm 2.93-3.08, 4 Zr 2.96-3.11
Sb  0.3634  0.8882  0.7268  4 Tm 3.00-3.30, 4 Zr 3.01-3.06
Sb  0.3652  0.4053  0.7304  3 Tm 2.93-3.08, 4 Zr 2.96-3.11
Sb  0.6366  0.1118  0.2732  4 Tm 3.00-3.30, 4 Zr 3.01-3.06

## Properties
As for the formation energy (no corrections): -0.361 eV per atom. The calculation puts the size of the total moment at 0.0 μB/f.u. Its space group is C2/m.



# 10
# TmZrSb

An optimized crystal structure of TmZrSb (PBE, the Alexandria database).

a b c (Å): 4.2967 4.2967 8.1172
angles (deg): 90.00 90.00 90.00
Closest atoms and distances in Å follow each position.
Element x y z (fractional)
Tm  0.0000  0.5000  0.8497  5 Sb 3.10-3.11
Tm  0.5000  0.0000  0.1503  5 Sb 3.10-3.11
Zr  0.5000  0.5000  0.5000  4 Zr 3.04, 4 Sb 3.06
Zr  0.0000  0.0000  0.5000  4 Zr 3.04, 4 Sb 3.06
Sb  0.0000  0.5000  0.2317  4 Zr 3.06, 5 Tm 3.10-3.11
Sb  0.5000  0.0000  0.7683  4 Zr 3.06, 5 Tm 3.10-3.11

## Properties
As for the formation energy (no corrections): -0.775 eV per atom. The calculation puts the size of the total moment at 0.0 μB/f.u. Its space group is P4/nmm.



# 11
# TmZr2Sb2

An optimized crystal structure of TmZr2Sb2 (PBE, the Alexandria database).

a b c (Å): 7.5367 7.5367 5.6667
angles (deg): 110.09 110.09 99.90
Closest atoms and distances in Å follow each position.
Element x y z (fractional)
Tm  0.9065  0.5935  0.7500  4 Sb 3.03-3.24, 2 Zr 3.38
Tm  0.0935  0.4065  0.2500  4 Sb 3.03-3.24, 2 Zr 3.38
Zr  0.2274  0.9102  0.5318  4 Sb 2.84-2.97, 1 Zr 3.03
Zr  0.4102  0.7274  0.0318  4 Sb 2.84-2.97, 1 Zr 3.03
Zr  0.7726  0.0898  0.4682  4 Sb 2.84-2.97, 1 Zr 3.03
Zr  0.5898  0.2726  0.9682  4 Sb 2.84-2.97, 1 Zr 3.03
Sb  0.1876  0.3124  0.7500  4 Zr 2.84-2.97, 2 Tm 3.03
Sb  0.3702  0.1298  0.2500  4 Zr 2.97, 1 Tm 3.19
Sb  0.6298  0.8702  0.7500  4 Zr 2.97, 1 Tm 3.19
Sb  0.8124  0.6876  0.2500  4 Zr 2.84-2.97, 2 Tm 3.03

## Properties
As for the formation energy (no corrections): -0.448 eV per atom. The calculation puts the size of the total moment at 0.0 μB/f.u. Its space group is C2/c.



# 12
# Tm2ZrSb

An optimized crystal structure of Tm2ZrSb (PBE, the Alexandria database).

a b c (Å): 4.3682 4.3113 11.1565
angles (deg): 90.00 101.34 90.00
Closest atoms and distances in Å follow each position.
Element x y z (fractional)
Tm  0.5661  0.2500  0.1318  4 Tm 3.07, 2 Sb 3.15
Tm  0.4339  0.7500  0.8682  4 Tm 3.07, 2 Sb 3.15
Tm  0.0619  0.7500  0.1233  4 Tm 3.07, 2 Sb 3.20
Tm  0.9381  0.2500  0.8767  4 Tm 3.07, 2 Sb 3.20
Zr  0.6974  0.7500  0.3930  5 Sb 2.92-3.12
Zr  0.3026  0.2500  0.6070  5 Sb 2.92-3.12
Sb  0.1705  0.2500  0.3398  5 Zr 2.92-3.12, 4 Tm 3.15-3.20
Sb  0.8295  0.7500  0.6602  5 Zr 2.92-3.12, 4 Tm 3.15-3.20

## Properties
As for the formation energy (no corrections): -0.338 eV per atom. The offset from the most stable computed form comes out at 42.4 meV per atom. The calculation puts the size of the total moment at 0.0 μB/f.u. Its space group is P2_1/m.



Which of these has the lowest formation energy (no corrections)? Tm2ZrSb3



Copy entry 3 word for word.
# Tm2ZrSb3

An optimized crystal structure of Tm2ZrSb3 (PBE, the Alexandria database).

a b c (Å): 4.2624 4.2624 9.5307
angles (deg): 102.93 102.93 89.97
Closest atoms and distances in Å follow each position.
Element x y z (fractional)
Tm  0.1018  0.1030  0.2089  6 Sb 3.01-3.06
Tm  0.7668  0.7680  0.5390  6 Sb 3.01-3.06
Zr  0.4340  0.4360  0.8740  6 Sb 2.96-3.01
Sb  0.9340  0.9360  0.8740  4 Zr 3.01, 2 Tm 3.03
Sb  0.2708  0.2720  0.5469  1 Zr 2.96, 5 Tm 3.01-3.06
Sb  0.5978  0.5991  0.2010  1 Zr 2.96, 5 Tm 3.01-3.06

## Properties
As for the formation energy (no corrections): -0.882 eV per atom. The calculation puts the size of the total moment at 0.0 μB/f.u. Its space group is I4/mmm.



size of the total moment of number 12 (Tm2ZrSb)? 0.0 μB/f.u.